Record 1
Compound: ZrBeTl4
Source: the Alexandria database
Functional: PBE-GGA
Structure: relaxed

abc: 6.1149 6.1149 6.1149
angles: 60.00 60.00 60.00
Closest atoms and distances in Å follow each position.
Sites, in units of the cell vectors:
Zr  0.0000  0.0000  0.0000  12 Tl 3.59, 4 Be 3.74
Be  0.7500  0.7500  0.7500  12 Tl 3.58, 4 Zr 3.74
Tl  0.3751  0.3751  0.3751  6 Tl 3.05-3.06
Tl  0.3751  0.3751  0.8746  6 Tl 3.05-3.06
Tl  0.3751  0.8746  0.3751  6 Tl 3.05-3.06
Tl  0.8746  0.3751  0.3751  6 Tl 3.05-3.06

Properties
The value obtained for the energy relative to the elements is 0.8350 eV/atom. The density of states at the Fermi level comes out at 4.41 states/eV/f.u. The calculation puts the calculated volume at 26.95 Å³/atom.

---

Record 2
Compound: ZrBe2Tl
Source: the Alexandria database
Functional: PBE-GGA
Structure: relaxed

abc: 3.2955 3.2955 6.3293
angles: 90.00 90.00 90.00
Closest atoms and distances in Å follow each position.
Sites, in units of the cell vectors:
Zr  0.0000  0.0000  0.0000  8 Be 2.72
Be  0.5000  0.5000  0.2205  4 Zr 2.72, 1 Be 2.79, 4 Tl 2.93
Be  0.5000  0.5000  0.7795  4 Zr 2.72, 1 Be 2.79, 4 Tl 2.93
Tl  0.0000  0.0000  0.5000  8 Be 2.93, 2 Zr 3.16

Properties
The value obtained for the energy relative to the elements is 0.3655 eV/atom. The density of states at the Fermi level comes out at 1.73 states/eV/f.u. Its distance to the lowest polymorph of the same formula is 340 meV/atom. The calculation puts the calculated volume at 17.18 Å³/atom.

---

Record 3
Compound: ZrBe2Tl
Source: the Alexandria database
Functional: PBE-GGA
Structure: relaxed

abc: 4.1282 4.5182 7.0043
angles: 90.00 90.00 90.00
Closest atoms and distances in Å follow each position.
Sites, in units of the cell vectors:
Zr  0.0000  0.0000  0.0000  5 Be 2.66-2.87
Zr  0.5000  0.5000  0.0000  5 Be 2.66-2.87
Be  0.0000  0.0000  0.6198  4 Be 2.25-2.43
Be  0.0000  0.5000  0.7461  4 Be 2.25-2.43
Be  0.5000  0.0000  0.7461  4 Be 2.25-2.43
Be  0.5000  0.5000  0.6198  4 Be 2.25-2.43
Tl  0.0000  0.5000  0.3481  5 Be 2.79-2.95, 4 Tl 3.06
Tl  0.5000  0.0000  0.3481  5 Be 2.79-2.95, 4 Tl 3.06

Properties
The value obtained for the energy relative to the elements is 0.2318 eV/atom. The density of states at the Fermi level comes out at 1.83 states/eV/f.u. Its distance to the lowest polymorph of the same formula is 206 meV/atom. The calculation puts the calculated volume at 16.33 Å³/atom.

---

Record 4
Compound: Zr2BeTl
Source: the Alexandria database
Functional: PBE-GGA
Structure: relaxed

abc: 4.1339 4.1339 9.4098
angles: 90.00 90.00 90.00
Closest atoms and distances in Å follow each position.
Sites, in units of the cell vectors:
Zr  0.0000  0.0000  0.0000  4 Tl 2.92, 4 Zr 3.13, 4 Be 3.13
Zr  0.0000  0.5000  0.2500  4 Be 2.92, 4 Tl 3.13, 4 Zr 3.13
Zr  0.5000  0.0000  0.7500  4 Be 2.92, 4 Zr 3.13, 4 Tl 3.13
Zr  0.5000  0.5000  0.5000  4 Tl 2.92, 4 Zr 3.13, 4 Be 3.13
Be  0.0000  0.5000  0.7500  8 Zr 2.92-3.13, 4 Tl 3.13
Be  0.5000  0.0000  0.2500  8 Zr 2.92-3.13, 4 Tl 3.13
Tl  0.0000  0.0000  0.5000  8 Zr 2.92-3.13, 4 Be 3.13
Tl  0.5000  0.5000  0.0000  8 Zr 2.92-3.13, 4 Be 3.13

Properties
The value obtained for the energy relative to the elements is 0.1460 eV/atom. The density of states at the Fermi level comes out at 2.85 states/eV/f.u. Its distance to the lowest polymorph of the same formula is 196 meV/atom. The calculation puts the calculated volume at 20.10 Å³/atom.

---

Record 5
Compound: ZrBeTl2
Source: the Alexandria database
Functional: PBE-GGA
Structure: relaxed

abc: 11.2352 3.1589 5.3612
angles: 90.00 118.24 90.00
Closest atoms and distances in Å follow each position.
Sites, in units of the cell vectors:
Zr  0.0000  0.0000  0.0000  4 Be 3.11, 2 Zr 3.16, 8 Tl 3.24-3.43
Zr  0.5000  0.5000  0.0000  4 Be 3.11, 2 Zr 3.16, 8 Tl 3.24-3.43
Be  0.0000  0.5000  0.5000  4 Tl 2.64
Be  0.5000  0.0000  0.5000  4 Tl 2.64
Tl  0.2140  0.0000  0.7142  2 Be 2.64
Tl  0.2860  0.5000  0.2858  2 Be 2.64
Tl  0.7140  0.5000  0.7142  2 Be 2.64
Tl  0.7860  0.0000  0.2858  2 Be 2.64

Properties
The value obtained for the energy relative to the elements is 0.3679 eV/atom. The density of states at the Fermi level comes out at 3.50 states/eV/f.u. Its distance to the lowest polymorph of the same formula is 122 meV/atom. The calculation puts the calculated volume at 20.95 Å³/atom.

---

Record 6
Compound: Zr3BeTl
Source: the Alexandria database
Functional: PBE-GGA
Structure: relaxed

abc: 5.3091 5.3091 5.3091
angles: 90.00 90.00 90.00
Closest atoms and distances in Å follow each position.
Sites, in units of the cell vectors:
Zr  0.0000  0.0000  0.5000  2 Tl 2.65
Zr  0.0000  0.5000  0.0000  2 Tl 2.65
Zr  0.5000  0.0000  0.0000  2 Tl 2.65
Be  0.5000  0.5000  0.5000  12 Zr 3.75
Tl  0.0000  0.0000  0.0000  6 Zr 2.65

Properties
The value obtained for the energy relative to the elements is 1.5394 eV/atom. The density of states at the Fermi level comes out at 5.53 states/eV/f.u. Its distance to the lowest polymorph of the same formula is 1443 meV/atom. The calculation puts the calculated volume at 29.93 Å³/atom.